Entry from OQMD via LeMat-Bulk: a geometry-optimized NaThTc structure (PBE).

Its crystal system is cubic. The calculation puts the total energy at -60.78 eV/cell.

It has space group F-43m (No. 216), with a = 6.582 Å, b = 6.582 Å, c = 6.582 Å, α = 90.00°, β = 90.00° and γ = 90.00°. Symmetry generates all atoms from Na at (0.000, 0.000, 0.000), Th at (0.250, 0.250, 0.250) and Tc at (0.250, 0.250, 0.750).

=====

Entry from OQMD via LeMat-Bulk: a geometry-optimized RbPaFe structure (PBE).

Its crystal system is cubic. The offset from the most stable computed form comes out at 0.00 eV per formula unit.

It has space group F-43m (No. 216), with a = 6.713 Å, b = 6.713 Å, c = 6.713 Å, α = 90.00°, β = 90.00° and γ = 90.00°. Symmetry generates all atoms from Rb at (0.000, 0.000, 0.000), Pa at (0.000, 0.000, 0.500) and Fe at (0.250, 0.250, 0.750).

=====

Entry from OQMD via LeMat-Bulk: a geometry-optimized ZnCu2Ge structure (PBE).

Its crystal system is cubic. The calculation puts the total energy at -52.11 eV/cell.

It has space group Pm-3m (No. 221), with a = 6.066 Å, b = 6.066 Å, c = 6.066 Å, α = 90.00°, β = 90.00° and γ = 90.00°. Symmetry generates all atoms from Zn at (0.000, 0.000, 0.000), Zn at (0.000, 0.000, 0.500), Cu at (0.243, 0.243, 0.243), Ge at (0.000, 0.500, 0.500) and Ge at (0.500, 0.500, 0.500).

=====

Entry from OQMD via LeMat-Bulk: a geometry-optimized MgTaCdIr structure (PBE).

Its crystal system is cubic. The offset from the most stable computed form comes out at 0.00 eV per formula unit.

It has space group F-43m (No. 216), with a = 6.502 Å, b = 6.502 Å, c = 6.502 Å, α = 90.00°, β = 90.00° and γ = 90.00°. Symmetry generates all atoms from Mg at (0.000, 0.000, 0.000), Ta at (0.000, 0.000, 0.500), Cd at (0.250, 0.250, 0.250) and Ir at (0.250, 0.250, 0.750).

=====

Entry from OQMD via LeMat-Bulk: a geometry-optimized ZrScCoSi2 structure (PBE).

Its crystal system is monoclinic. The calculation puts the total energy at -148.96 eV/cell.

It has space group C2/m (No. 12), with a = 9.860 Å, b = 3.911 Å, c = 9.401 Å, α = 90.00°, β = 118.48° and γ = 90.00°. Symmetry generates all atoms from Zr at (0.185, 0.000, 0.101), Sc at (0.001, 0.000, 0.672), Co at (0.225, 0.500, 0.375), Si at (0.013, 0.500, 0.874) and Si at (0.145, 0.500, 0.570).

=====

Entry from OQMD via LeMat-Bulk: a geometry-optimized Ba2CuP2Pd structure (PBE).

Its crystal system is hexagonal. The calculation puts the total energy at -28.59 eV/cell.

It has space group P-6m2 (No. 187), with a = 4.2387 Å, b = 4.2387 Å, c = 9.4604 Å, α = 90.00°, β = 90.00° and γ = 120.00°. Symmetry generates all atoms from Ba at (0.0000, 0.0000, 0.2493), Cu at (0.6667, 0.3333, 0.5000), P at (0.3333, 0.6667, 0.5000), P at (0.6667, 0.3333, 0.0000) and Pd at (0.3333, 0.6667, 0.0000).

=====

Entry from OQMD via LeMat-Bulk: a geometry-optimized Co3N2 structure (PBE).

Its crystal system is tetragonal. The calculation puts the total energy at -73.07 eV/cell.

It has space group I4/mmm (No. 139), with a = 2.776 Å, b = 2.776 Å, c = 11.665 Å, α = 90.00°, β = 90.00° and γ = 90.00°. Symmetry generates all atoms from Co at (0.000, 0.000, 0.000), Co at (0.000, 0.000, 0.319) and N at (0.000, 0.000, 0.153).

=====

Entry from OQMD via LeMat-Bulk: a geometry-optimized TbHoSi2Mo2C structure (PBE).

Its crystal system is monoclinic. The calculation puts the total energy at -110.31 eV/cell.

It has space group Cm (No. 8), with a = 11.143 Å, b = 3.812 Å, c = 7.147 Å, α = 90.00°, β = 125.64° and γ = 90.00°. Symmetry generates all atoms from Tb at (0.000, 0.000, 0.000), Ho at (0.350, 0.500, 0.409), Si at (0.056, 0.500, 0.368), Si at (0.294, 0.000, 0.040), Mo at (0.130, 0.500, 0.787), Mo at (0.219, 0.000, 0.619) and C at (0.424, 0.000, 0.702).